Entry from the Alexandria database: Rb4PuCl10 after structural relaxation (PBE).

* size of the total moment: 0.209 μB per atom
* E_tot: -3.963 eV/atom
* DOS(E_F): 12.21 states/eV/cell
* raw formation energy: -1519 meV per atom
* ρ: 2.98 g/cm3

Unit cell a=7.1476 b=9.2756 c=9.2756 alpha=81.46 beta=67.34 gamma=67.34
Fractional coordinates of all 15 atoms:
Rb 0.3951 0.8049 0.4049
Rb 0.8000 0.5951 0.8049
Rb 0.2000 0.4049 0.1951
Rb 0.6049 0.1951 0.5951
Pu 0.0000 0.0000 0.0000
Cl 0.2500 0.5000 0.5000
Cl 0.6987 0.2478 0.9191
Cl 0.0535 0.0809 0.2478
Cl 0.3822 0.9191 0.7522
Cl 0.8656 0.7522 0.0809
Cl 0.3013 0.7522 0.0809
Cl 0.7500 0.5000 0.5000
Cl 0.1344 0.2478 0.9191
Cl 0.6178 0.0809 0.2478
Cl 0.9465 0.9191 0.7522

Entry from the Alexandria database: Ba8Pt3I after structural relaxation (PBE).

* size of the total moment: 0.000 μB per atom
* E_tot: -3.583 eV/atom
* DOS(E_F): 10.46 states/eV/cell
* raw formation energy: -662 meV per atom
* ρ: 5.05 g/cm3

Unit cell a=9.5755 b=9.5762 c=9.3200 alpha=120.90 beta=90.00 gamma=120.00
Fractional coordinates of all 12 atoms:
Ba 0.2583 0.5165 0.7749
Ba 0.7417 0.4835 0.2251
Ba 0.2867 0.0251 0.7635
Ba 0.7384 0.0251 0.7635
Ba 0.7385 0.4770 0.7635
Ba 0.2615 0.5230 0.2365
Ba 0.2616 0.9749 0.2365
Ba 0.7133 0.9749 0.2365
Pt 0.5000 0.0000 0.0000
Pt 0.5000 0.5000 0.0000
Pt 0.0000 0.5000 0.0000
I 0.0000 0.0000 0.0000

Entry from the Alexandria database: TaCrRe2 after structural relaxation (PBE).

* size of the total moment: 0.000 μB per atom
* E_tot: -11.657 eV/atom
* DOS(E_F): 2.56 states/eV/cell
* formation energy: -0.06 eV/atom
* ρ: 16.75 g/cm3

Unit cell a=3.1041 b=4.4002 c=4.3935 alpha=90.00 beta=90.00 gamma=90.00
Fractional coordinates of all 4 atoms:
Cr 0.0000 0.5000 0.5000
Re 0.0000 0.0000 0.0000
Re 0.5000 0.5000 0.0000
Ta 0.5000 0.0000 0.5000

Entry from the Alexandria database: TaPbCl2 after structural relaxation (PBE).

* size of the total moment: 0.300 μB per atom
* E_tot: -4.385 eV/atom
* DOS(E_F): 3.52 states/eV/cell
* ΔE to the lowest computed polymorph: 0.917 eV per atom
* raw formation energy: 429 meV per atom
* ρ: 8.64 g/cm3

Unit cell a=5.4905 b=5.4905 c=3.1380 alpha=90.00 beta=90.00 gamma=111.07
Fractional coordinates of all 4 atoms:
Pb 0.5000 0.0000 0.5000
Cl 0.0000 0.0000 0.0000
Cl 0.5000 0.5000 0.0000
Ta 0.0000 0.5000 0.5000

Entry from the Alexandria database: Ba12Pt5I3 after structural relaxation (PBE).

* size of the total moment: 0.054 μB per atom
* E_tot: -3.547 eV/atom
* DOS(E_F): 69.72 states/eV/cell
* raw formation energy: -650 meV per atom
* ρ: 5.08 g/cm3

Unit cell a=17.2142 b=17.2142 c=17.2142 alpha=109.47 beta=109.47 gamma=109.47
Fractional coordinates of all 80 atoms:
I 0.7500 0.3750 0.1250
I 0.8750 0.7500 0.1250
I 0.3750 0.7500 0.6250
I 0.2500 0.1250 0.3750
I 0.8750 0.1250 0.2500
I 0.3750 0.6250 0.2500
I 0.6250 0.3750 0.7500
I 0.1250 0.8750 0.7500
I 0.7500 0.8750 0.6250
I 0.6250 0.2500 0.3750
I 0.1250 0.2500 0.8750
I 0.2500 0.6250 0.8750
Pt 0.1250 0.3750 0.2500
Pt 0.0000 0.5000 0.0000
Pt 0.0000 0.0000 0.0000
Pt 0.3750 0.2500 0.1250
Pt 0.5000 0.0000 0.5000
Pt 0.5000 0.5000 0.0000
Pt 0.1250 0.7500 0.3750
Pt 0.7500 0.1250 0.8750
Pt 0.7500 0.6250 0.3750
Pt 0.3750 0.1250 0.7500
Pt 0.6250 0.8750 0.2500
Pt 0.5000 0.5000 0.5000
Pt 0.5000 0.0000 0.0000
Pt 0.0000 0.0000 0.5000
Pt 0.2500 0.3750 0.6250
Pt 0.2500 0.8750 0.1250
Pt 0.0000 0.5000 0.5000
Pt 0.8750 0.2500 0.6250
Pt 0.6250 0.7500 0.8750
Pt 0.8750 0.6250 0.7500
Ba 0.7011 0.1111 0.0224
Ba 0.3213 0.5224 0.4112
Ba 0.9776 0.3889 0.2989
Ba 0.5224 0.2011 0.1111
Ba 0.5899 0.7011 0.6787
Ba 0.9776 0.5888 0.1787
Ba 0.3213 0.7989 0.4101
Ba 0.0888 0.9101 0.1111
Ba 0.5888 0.9776 0.6787
Ba 0.7011 0.5899 0.1787
Ba 0.7989 0.4776 0.3889
Ba 0.8213 0.9112 0.0224
Ba 0.1111 0.7011 0.5224
Ba 0.3889 0.4112 0.0899
Ba 0.0899 0.9112 0.3889
Ba 0.4101 0.1111 0.5888
Ba 0.0899 0.1787 0.2011
Ba 0.4776 0.6787 0.0888
Ba 0.8213 0.9101 0.2989
Ba 0.1111 0.4101 0.0888
Ba 0.3889 0.9776 0.7989
Ba 0.5888 0.6111 0.4101
Ba 0.9112 0.8213 0.5224
Ba 0.7989 0.3213 0.9101
Ba 0.4112 0.3889 0.5899
Ba 0.0888 0.1787 0.4776
Ba 0.2011 0.6787 0.0899
Ba 0.1787 0.0899 0.7011
Ba 0.6111 0.0224 0.2011
Ba 0.8889 0.5899 0.9112
Ba 0.5224 0.3213 0.9112
Ba 0.5899 0.8889 0.4112
Ba 0.9101 0.8213 0.7989
Ba 0.9101 0.0888 0.6111
Ba 0.8889 0.2989 0.4776
Ba 0.1787 0.0888 0.9776
Ba 0.6111 0.5888 0.9101
Ba 0.4112 0.0224 0.3213
Ba 0.2989 0.4101 0.8213
Ba 0.2011 0.5224 0.6111
Ba 0.9112 0.0899 0.8889
Ba 0.6787 0.2011 0.5899
Ba 0.4776 0.7989 0.8889
Ba 0.0224 0.4112 0.8213
Ba 0.4101 0.2989 0.3213
Ba 0.0224 0.6111 0.7011
Ba 0.6787 0.4776 0.5888
Ba 0.2989 0.8889 0.9776

Entry from the Alexandria database: NaBi2F6 after structural relaxation (PBE).

* size of the total moment: 0.000 μB per atom
* E_tot: -4.537 eV/atom
* DOS(E_F): 2.75 states/eV/cell
* raw formation energy: -2280 meV per atom
* ρ: 6.41 g/cm3

Unit cell a=4.1446 b=4.1446 c=8.8635 alpha=103.52 beta=103.52 gamma=90.00
Fractional coordinates of all 9 atoms:
Na 0.0000 0.0000 0.0000
Bi 0.3427 0.3427 0.6853
Bi 0.6573 0.6573 0.3147
F 0.9122 0.4122 0.8244
F 0.4122 0.9122 0.8244
F 0.0878 0.5878 0.1756
F 0.7500 0.2500 0.5000
F 0.2500 0.7500 0.5000
F 0.5878 0.0878 0.1756

Entry from the Alexandria database: Rb3CuSn4 after structural relaxation (PBE).

* size of the total moment: 0.000 μB per atom
* E_tot: -3.112 eV/atom
* formation energy: -0.24 eV/atom
* ρ: 4.15 g/cm3

Unit cell a=6.4818 b=7.2585 c=13.5301 alpha=90.00 beta=90.00 gamma=90.00
Fractional coordinates of all 16 atoms:
Cu 0.6871 0.5000 0.0000
Cu 0.3129 0.0000 0.5000
Rb 0.5470 0.0000 0.0000
Rb 0.4530 0.5000 0.5000
Rb 0.8353 0.5000 0.7425
Rb 0.8353 0.5000 0.2575
Rb 0.1647 0.0000 0.7575
Rb 0.1647 0.0000 0.2425
Sn 0.3425 0.5000 0.8866
Sn 0.3425 0.5000 0.1134
Sn 0.0304 0.2861 0.0000
Sn 0.0304 0.7139 0.0000
Sn 0.9696 0.7861 0.5000
Sn 0.9696 0.2139 0.5000
Sn 0.6575 0.0000 0.3866
Sn 0.6575 0.0000 0.6134

Entry from the Alexandria database: MgZr2Se after structural relaxation (PBE).

* size of the total moment: 0.000 μB per atom
* E_tot: -6.017 eV/atom
* DOS(E_F): 2.58 states/eV/cell
* ΔE to the lowest computed polymorph: 0.000 eV per atom
* raw formation energy: -474 meV per atom
* ρ: 5.19 g/cm3

Unit cell a=9.0465 b=9.0465 c=9.0465 alpha=22.04 beta=22.04 gamma=22.04
Fractional coordinates of all 4 atoms:
Mg 0.4884 0.4884 0.4884
Se 0.7479 0.7479 0.7479
Zr 0.0104 0.0104 0.0104
Zr 0.2533 0.2533 0.2533